(1)
Entry from the Alexandria database: Sr3AsN after structural relaxation (PBE).

Unit cell a=6.4258 b=7.0456 c=7.0745 alpha=60.17 beta=82.36 gamma=89.71
Last column: nearest neighbours and their distance in Å.
Sites, in units of the cell vectors:
Sr: 0.1825 0.3261 0.3215  2 N 2.44-2.62
Sr: 0.2843 0.8181 0.8549  2 N 2.46-2.58
Sr: 0.2875 0.3560 0.8268  2 N 2.47-2.56
Sr: 0.7125 0.6440 0.1732  2 N 2.47-2.56
Sr: 0.7157 0.1819 0.1451  2 N 2.46-2.58
Sr: 0.8175 0.6739 0.6785  2 N 2.44-2.62
As: 0.2626 0.8342 0.3325  9 Sr 3.30-3.66
As: 0.7374 0.1658 0.6675  9 Sr 3.30-3.66
N: 0.0000 0.5000 0.0000  6 Sr 2.44-2.58
N: 0.5000 0.5000 0.0000  6 Sr 2.46-2.62

**DOS at the Fermi energy**: 0.0000 states/eV/atom
**Size of the total moment**: 0.000 μB/f.u.
**V**: 275 Å³ per cell



(2)
Entry from the Alexandria database: Sr3AsN after structural relaxation (PBE).

Unit cell a=6.6923 b=6.6923 c=9.7650 alpha=111.10 beta=111.10 gamma=50.07
Last column: nearest neighbours and their distance in Å.
Sites, in units of the cell vectors:
Sr: 0.0120 0.0120 0.1779  2 N 2.55-2.57
Sr: 0.3197 0.3197 0.3492  1 N 2.59
Sr: 0.3307 0.3307 0.9626  1 N 2.53
Sr: 0.6693 0.6693 0.0374  1 N 2.53
Sr: 0.6803 0.6803 0.6508  1 N 2.59
Sr: 0.9880 0.9880 0.8221  2 N 2.55-2.57
As: 0.4296 0.4296 0.6951  5 Sr 3.06-3.28
As: 0.5704 0.5704 0.3049  5 Sr 3.06-3.28
N: 0.1727 0.1727 0.0706  4 Sr 2.53-2.59
N: 0.8273 0.8273 0.9294  4 Sr 2.53-2.59

**DOS at the Fermi energy**: 0.0002 states/eV/atom
**Size of the total moment**: 0.000 μB/f.u.
**V**: 308 Å³ per cell



(3)
Entry from the Alexandria database: Sr3AsN after structural relaxation (PBE).

Unit cell a=5.3830 b=7.4430 c=7.4133 alpha=90.00 beta=111.20 gamma=90.00
Last column: nearest neighbours and their distance in Å.
Sites, in units of the cell vectors:
Sr: 0.0394 0.2500 0.0780  2 N 2.69-2.71
Sr: 0.3686 0.0230 0.7368  2 N 2.53-2.72
Sr: 0.3686 0.4770 0.7368  2 N 2.53-2.72
Sr: 0.6314 0.5230 0.2632  2 N 2.53-2.72
Sr: 0.6314 0.9770 0.2632  2 N 2.53-2.72
Sr: 0.9606 0.7500 0.9220  2 N 2.69-2.71
As: 0.1832 0.7500 0.3668  7 Sr 3.07-3.27
As: 0.8168 0.2500 0.6332  7 Sr 3.07-3.27
N: 0.4789 0.7500 0.9539  6 Sr 2.53-2.72
N: 0.5211 0.2500 0.0461  6 Sr 2.53-2.72

**DOS at the Fermi energy**: 0.0065 states/eV/atom
**Size of the total moment**: 0.000 μB/f.u.
**V**: 277 Å³ per cell



(4)
Entry from the Alexandria database: Sr3AsN after structural relaxation (PBE).

Unit cell a=7.0838 b=5.0060 c=7.9622 alpha=90.00 beta=101.78 gamma=90.00
Last column: nearest neighbours and their distance in Å.
Sites, in units of the cell vectors:
Sr: 0.0000 0.0000 0.0000  2 N 2.63
Sr: 0.2113 0.5000 0.7666  2 N 2.56
Sr: 0.2132 0.0000 0.4210  2 N 2.54-2.57
Sr: 0.5000 0.0000 0.0000  2 N 2.98
Sr: 0.7868 0.0000 0.5790  2 N 2.54-2.57
Sr: 0.7887 0.5000 0.2334  2 N 2.56
As: 0.2993 0.5000 0.1838  8 Sr 3.25-3.41
As: 0.7007 0.5000 0.8162  8 Sr 3.25-3.41
N: 0.1466 0.0000 0.7220  5 Sr 2.54-2.63
N: 0.8534 0.0000 0.2780  5 Sr 2.54-2.63

**DOS at the Fermi energy**: 0.0000 states/eV/atom
**Size of the total moment**: 0.000 μB/f.u.
**V**: 276 Å³ per cell



(5)
Entry from the Alexandria database: Sr3AsN after structural relaxation (PBE).

Unit cell a=7.4577 b=5.2794 c=8.5490 alpha=90.00 beta=106.21 gamma=90.00
Last column: nearest neighbours and their distance in Å.
Sites, in units of the cell vectors:
Sr: 0.0160 0.2500 0.1297  3 N 2.49-2.66
Sr: 0.2979 0.7500 0.3718  1 N 2.44
Sr: 0.3294 0.2500 0.8478  1 N 2.41
Sr: 0.6706 0.7500 0.1522  1 N 2.41
Sr: 0.7021 0.2500 0.6282  1 N 2.44
Sr: 0.9840 0.7500 0.8703  3 N 2.49-2.66
As: 0.4847 0.2500 0.2483  7 Sr 3.19-3.36
As: 0.5153 0.7500 0.7517  7 Sr 3.19-3.36
N: 0.0020 0.2500 0.8356  5 Sr 2.41-2.66
N: 0.9980 0.7500 0.1644  5 Sr 2.41-2.66

**DOS at the Fermi energy**: 0.0000 states/eV/atom
**Size of the total moment**: 0.000 μB/f.u.
**V**: 323 Å³ per cell



(6)
Entry from the Alexandria database: Sr3AsN after structural relaxation (PBE).

Unit cell a=6.1421 b=6.1421 c=6.1421 alpha=85.17 beta=85.17 gamma=85.17
Last column: nearest neighbours and their distance in Å.
Sites, in units of the cell vectors:
Sr: 0.0438 0.4781 0.4781  1 N 2.34
Sr: 0.4781 0.0438 0.4781  1 N 2.34
Sr: 0.4781 0.4781 0.0438  1 N 2.34
As: 0.5447 0.5447 0.5447  6 Sr 3.06-3.20
N: 0.2405 0.2405 0.2405  3 Sr 2.34

**DOS at the Fermi energy**: 0.0504 states/eV/atom
**Size of the total moment**: 0.000 μB/f.u.
**V**: 229 Å³ per cell



(7)
Entry from the Alexandria database: Sr3AsN after structural relaxation (PBE).

Unit cell a=3.8805 b=7.9767 c=7.9767 alpha=65.32 beta=90.00 gamma=90.00
Last column: nearest neighbours and their distance in Å.
Sites, in units of the cell vectors:
Sr: 0.0000 0.0000 0.0000  1 N 2.51
Sr: 0.5000 0.0371 0.4181  2 N 2.60
Sr: 0.5000 0.4181 0.0371  2 N 2.60
As: 0.5000 0.8308 0.8308  4 Sr 2.99-3.00
N: 0.0000 0.1867 0.1867  5 Sr 2.51-2.60

**DOS at the Fermi energy**: 0.2681 states/eV/atom
**Size of the total moment**: 0.000 μB/f.u.
**V**: 224 Å³ per cell



(8)
Entry from the Alexandria database: Sr3AsN after structural relaxation (PBE).

Unit cell a=9.1812 b=9.1812 c=6.4848 alpha=90.00 beta=90.00 gamma=135.67
Last column: nearest neighbours and their distance in Å.
Sites, in units of the cell vectors:
Sr: 0.0000 0.0000 0.0000  2 As 3.16, 2 Sr 3.24
Sr: 0.0000 0.0000 0.5000  2 As 3.16, 2 Sr 3.24
Sr: 0.0675 0.4326 0.2500  1 N 2.29
Sr: 0.4326 0.0675 0.7500  1 N 2.29
Sr: 0.5674 0.9325 0.2500  1 N 2.29
Sr: 0.9325 0.5674 0.7500  1 N 2.29
As: 0.1593 0.8407 0.2500  4 Sr 3.16-3.20
As: 0.8407 0.1593 0.7500  4 Sr 3.16-3.20
N: 0.4057 0.5943 0.2500  2 Sr 2.29
N: 0.5943 0.4057 0.7500  2 Sr 2.29

**DOS at the Fermi energy**: 0.9406 states/eV/atom
**Size of the total moment**: 0.619 μB/f.u.
**V**: 382 Å³ per cell



(9)
Entry from the Alexandria database: Sr3AsN after structural relaxation (PBE).

Unit cell a=7.8286 b=7.8286 c=7.8286 alpha=54.17 beta=54.17 gamma=54.17
Last column: nearest neighbours and their distance in Å.
Sites, in units of the cell vectors:
Sr: 0.0243 0.4414 0.8091  2 N 2.65-2.68
Sr: 0.1909 0.9757 0.5586  2 N 2.65-2.68
Sr: 0.4414 0.8091 0.0243  2 N 2.65-2.68
Sr: 0.5586 0.1909 0.9757  2 N 2.65-2.68
Sr: 0.8091 0.0243 0.4414  2 N 2.65-2.68
Sr: 0.9757 0.5586 0.1909  2 N 2.65-2.68
As: 0.3661 0.3661 0.3661  6 Sr 3.04-3.25
As: 0.6339 0.6339 0.6339  6 Sr 3.04-3.25
N: 0.1582 0.1582 0.1582  6 Sr 2.65-2.68
N: 0.8418 0.8418 0.8418  6 Sr 2.65-2.68

**DOS at the Fermi energy**: 0.0000 states/eV/atom
**Size of the total moment**: 0.000 μB/f.u.
**V**: 293 Å³ per cell



| no. | VASP energy (eV per atom) | energy above the lowest structure with this stoichiometry (eV/f.u.) |
| --- | --- | --- |
| 1 | -4.462 | 0.243 |
| 2 | -4.379 | 0.658 |
| 3 | -4.383 | 0.637 |
| 4 | -4.428 | 0.411 |
| 5 | -4.423 | 0.439 |
| 6 | -3.977 | 2.668 |
| 7 | -4.029 | 2.405 |
| 8 | -3.496 | 5.071 |
| 9 | -4.396 | 0.572 |